# 1
VASP calculation (GGA-PBE) on a relaxed TePdW3 crystal.

Output
**Formation energy without anion corrections**: 1072 kJ/mol of formula units
**Symmetry**: Pm-3m (221)

Geometry as POSCAR:
```
TePdW3
1.0
4.793 0.000 0.000
0.000 4.793 0.000
0.000 0.000 4.793
Te Pd W
1 1 3
direct
0.000 0.000 0.000
0.500 0.500 0.500
0.000 0.500 0.500
0.500 0.000 0.500
0.500 0.500 0.000
```

# 2
VASP calculation (GGA-PBE) on a relaxed AcPm3Os crystal.

Output
**Symmetry**: Pnma (62)
**E_form**: 0.04 eV per formula unit

Geometry as POSCAR:
```
AcPm3Os
1.0
10.033 0.000 0.000
0.000 5.007 0.000
0.000 0.000 12.829
Ac Pm Os
4 12 4
direct
0.150 0.250 0.024
0.350 0.750 0.524
0.650 0.250 0.476
0.850 0.750 0.976
0.089 0.750 0.228
0.094 0.250 0.560
0.178 0.750 0.804
0.322 0.250 0.304
0.406 0.750 0.060
0.411 0.250 0.728
0.589 0.750 0.272
0.594 0.250 0.940
0.678 0.750 0.696
0.822 0.250 0.196
0.906 0.750 0.440
0.911 0.250 0.772
0.026 0.250 0.344
0.474 0.750 0.844
0.526 0.250 0.156
0.974 0.750 0.656
```

# 3
VASP calculation (GGA-PBE) on a relaxed PPd4 crystal.

Output
**Symmetry**: I4_1/amd (141)
**E_form**: -1.59 eV per formula unit

Geometry as POSCAR:
```
PPd4
1.0
-3.644 3.644 2.980
3.644 -3.644 2.980
3.644 3.644 -2.980
P Pd
2 8
direct
0.375 0.625 0.750
0.625 0.375 0.250
0.170 0.722 0.448
0.226 0.278 0.948
0.278 0.226 0.448
0.278 0.830 0.052
0.722 0.170 0.948
0.722 0.774 0.552
0.774 0.722 0.052
0.830 0.278 0.552
```

Number 1: V 110 Å³ per cell. Number 2: V 644 Å³ per cell. Number 3: V 158 Å³ per cell.